Below is a relaxed KBaTe2I crystal, with properties calculated at the GGA-PBE level.

* space-group type: P4/mmm (123)
* N(E_F): 7.7 states/eV/cell
* E above lowest polymorph: 0.000 eV/atom

abc: 6.6683 6.6683 6.7680
angles: 90.00 90.00 90.00
Last column: nearest neighbours and their distance in Å.
Fractional positions:
I1 0.0000 0.0000 0.5000  2 Ba 3.38
K1 0.5000 0.5000 0.5000  4 I 4.72, 8 Te 4.75
Te1 0.0000 0.5000 0.0000  2 Ba 3.33
Te2 0.5000 0.0000 0.0000  2 Ba 3.33
Ba1 0.0000 0.0000 0.0000  4 Te 3.33, 2 I 3.38

=====

Below is a relaxed Pm6Ru2SeBr3 crystal, with properties calculated at the GGA-PBE level.

* space-group type: C2/m (12)
* N(E_F): 9.1 states/eV/cell
* final energy: -0.4178 Ry/atom

abc: 7.2311 7.2311 8.0044
angles: 98.65 98.65 119.97
Last column: nearest neighbours and their distance in Å.
Fractional positions:
Pm1 0.9341 0.5773 0.8003  2 Ru 2.78-2.79, 1 Se 3.00
Pm2 0.7091 0.7091 0.1987  2 Ru 2.78, 1 Se 3.00
Pm3 0.0659 0.4227 0.1997  2 Ru 2.78-2.79, 1 Se 3.00
Pm4 0.5773 0.9341 0.8003  2 Ru 2.78-2.79, 1 Se 3.00
Pm5 0.2909 0.2909 0.8013  2 Ru 2.78, 1 Se 3.00
Pm6 0.4227 0.0659 0.1997  2 Ru 2.78-2.79, 1 Se 3.00
Ru1 0.3329 0.6671 0.0000  6 Pm 2.78-2.79
Ru2 0.6671 0.3329 0.0000  6 Pm 2.78-2.79
Se1 0.0000 0.0000 0.0000  6 Pm 3.00
Br1 0.1629 0.8371 0.5000  6 Pm 3.24-3.39
Br2 0.8371 0.1629 0.5000  6 Pm 3.24-3.39
Br3 0.5000 0.5000 0.5000  6 Pm 3.21-3.39

=====

Below is a relaxed Sc3TcBr crystal, with properties calculated at the GGA-PBE level.

* space-group type: Pm-3m (221)
* N(E_F): 7.0 states/eV/cell
* E above lowest polymorph: 0.393 eV/atom

abc: 4.8522 4.8522 4.8522
angles: 90.00 90.00 90.00
Last column: nearest neighbours and their distance in Å.
Fractional positions:
Sc1 0.0000 0.5000 0.0000  2 Br 2.43
Sc2 0.0000 0.0000 0.5000  2 Br 2.43
Sc3 0.5000 0.0000 0.0000  2 Br 2.43
Tc1 0.5000 0.5000 0.5000  12 Sc 3.43
Br1 0.0000 0.0000 0.0000  6 Sc 2.43

=====

Below is a relaxed CePdPt6 crystal, with properties calculated at the GGA-PBE level.

* space-group type: P4/mmm (123)
* N(E_F): 11.1 states/eV/cell
* energy of formation from the pure elements: -0.500 eV/atom

abc: 4.0830 5.7471 5.7471
angles: 89.96 90.00 90.00
Last column: nearest neighbours and their distance in Å.
Fractional positions:
Ce1 0.5000 0.0000 0.0000  12 Pt 2.87-2.92
Pd1 0.5000 0.5000 0.5000  12 Pt 2.84-2.87
Pt1 0.0000 0.7438 0.2562  8 Pt 2.80-2.94, 2 Pd 2.84, 2 Ce 2.92
Pt2 0.0000 0.2562 0.7438  8 Pt 2.80-2.94, 2 Pd 2.84, 2 Ce 2.92
Pt3 0.0000 0.7440 0.7440  8 Pt 2.80-2.94, 2 Pd 2.85, 2 Ce 2.92
Pt4 0.0000 0.2560 0.2560  8 Pt 2.80-2.94, 2 Pd 2.85, 2 Ce 2.92
Pt5 0.5000 0.5000 0.0000  2 Ce 2.87, 2 Pd 2.87, 8 Pt 2.88
Pt6 0.5000 0.0000 0.5000  2 Pd 2.87, 2 Ce 2.87, 8 Pt 2.88

=====

Below is a relaxed Mg2Al3Pt2 crystal, with properties calculated at the GGA-PBE level.

* space-group type: C2/m (12)
* N(E_F): 1.4 states/eV/cell
* energy of formation from the pure elements: -0.790 eV/atom

abc: 4.0881 5.1669 6.7594
angles: 109.82 90.00 113.30
Last column: nearest neighbours and their distance in Å.
Fractional positions:
Mg1 0.8435 0.6871 0.2006  4 Pt 2.73-2.87, 2 Al 3.03-3.05
Mg2 0.1565 0.3129 0.7994  4 Pt 2.73-2.87, 2 Al 3.03-3.05
Al1 0.5000 0.0000 0.0000  4 Pt 2.54, 2 Al 2.83
Al2 0.6340 0.2679 0.4505  3 Pt 2.53-2.61
Al3 0.3660 0.7321 0.5495  3 Pt 2.53-2.61
Pt1 0.8660 0.7320 0.7901  5 Al 2.53-2.61, 1 Mg 2.73
Pt2 0.1340 0.2680 0.2099  5 Al 2.53-2.61, 1 Mg 2.73

=====

Below is a relaxed LiHfZnPb2 crystal, with properties calculated at the GGA-PBE level.

* space-group type: P4/mmm (123)
* N(E_F): 4.1 states/eV/cell
* energy of formation from the pure elements: 0.570 eV/atom

abc: 4.8549 4.9966 4.8549
angles: 90.00 90.00 90.00
Last column: nearest neighbours and their distance in Å.
Fractional positions:
Pb1 0.0000 0.0000 0.5000  2 Li 2.43
Pb2 0.5000 0.0000 0.0000  2 Li 2.43
Zn1 0.5000 0.5000 0.5000  4 Hf 3.43, 8 Pb 3.48
Hf1 0.0000 0.5000 0.0000  2 Li 2.50
Li1 0.0000 0.0000 0.0000  4 Pb 2.43, 2 Hf 2.50

=====

Below is a relaxed BaV2Cu2 crystal, with properties calculated at the GGA-PBE level.

* space-group type: P4/mbm (127)
* N(E_F): 10.4 states/eV/cell
* energy of formation from the pure elements: 0.695 eV/atom
* E above lowest polymorph: 0.190 eV/atom

abc: 8.1153 8.1153 2.9473
angles: 90.00 90.00 90.00
Last column: nearest neighbours and their distance in Å.
Fractional positions:
Ba1 0.0000 0.0000 0.0000  2 Ba 2.95, 4 Cu 3.03
Ba2 0.5000 0.5000 0.0000  2 Ba 2.95, 4 Cu 3.03
Cu1 0.3339 0.8339 0.0000  6 V 2.73-2.94, 2 Cu 2.95, 2 Ba 3.03
Cu2 0.8339 0.6661 0.0000  6 V 2.73-2.94, 2 Cu 2.95, 2 Ba 3.03
Cu3 0.6661 0.1661 0.0000  6 V 2.73-2.94, 2 Cu 2.95, 2 Ba 3.03
Cu4 0.1661 0.3339 0.0000  6 V 2.73-2.94, 2 Cu 2.95, 2 Ba 3.03
V1 0.1118 0.6118 0.5000  1 V 2.57, 4 Cu 2.73
V2 0.6118 0.8882 0.5000  1 V 2.57, 4 Cu 2.73
V3 0.8882 0.3882 0.5000  1 V 2.57, 4 Cu 2.73
V4 0.3882 0.1118 0.5000  1 V 2.57, 4 Cu 2.73

=====

Below is a relaxed TeHWN2 crystal, with properties calculated at the GGA-PBE level.

* space-group type: P4/mmm (123)
* N(E_F): 2.3 states/eV/cell
* E above lowest polymorph: 1.302 eV/atom

abc: 4.1228 4.1228 3.2131
angles: 90.00 90.00 90.00
Last column: nearest neighbours and their distance in Å.
Fractional positions:
H1 0.0000 0.0000 0.0000  2 Te 1.61
Te1 0.0000 0.0000 0.5000  2 H 1.61
W1 0.5000 0.5000 0.5000  8 N 2.61, 4 Te 2.92
N1 0.0000 0.5000 0.0000  2 H 2.06
N2 0.5000 0.0000 0.0000  2 H 2.06

=====

Below is a relaxed TaTiB crystal, with properties calculated at the GGA-PBE level.

* space-group type: Cmcm (63)
* N(E_F): 5.6 states/eV/cell
* energy of formation from the pure elements: -0.484 eV/atom
* E above lowest polymorph: 0.019 eV/atom

abc: 3.2657 3.1359 8.0264
angles: 90.00 101.74 90.00
Last column: nearest neighbours and their distance in Å.
Fractional positions:
Ta1 0.5830 0.7500 0.1660  6 B 2.40-2.44
Ta2 0.4170 0.2500 0.8340  6 B 2.40-2.44
Ti1 0.8033 0.7500 0.6067  1 B 2.59, 4 Ti 2.82, 4 Ta 2.88
Ti2 0.1967 0.2500 0.3933  1 B 2.59, 4 Ti 2.82, 4 Ta 2.88
B1 0.9681 0.7500 0.9361  2 B 1.86
B2 0.0319 0.2500 0.0639  2 B 1.86